Density functional theory data (PBE-GGA) for Sr2LiTl after structural relaxation.

Geometry as CIF:
```
data_Sr2LiTl
_cell_length_a 6.665
_cell_length_b 6.665
_cell_length_c 5.877
_cell_angle_alpha 110.71
_cell_angle_beta 110.71
_cell_angle_gamma 35.45
_space_group_name_H-M_alt 'P 1'
_space_group_IT_number 1
_space_group_name_Hall 'P 1'
loop_
_atom_site_label
_atom_site_type_symbol
_atom_site_fract_x
_atom_site_fract_y
_atom_site_fract_z
_atom_site_occupancy
Sr1 Sr 0.000 0.000 0.000 1
Sr2 Sr 0.207 0.207 0.667 1
Li1 Li 0.423 0.423 0.419 1
Tl1 Tl 0.749 0.749 0.198 1
```

Summary:
- E: -2.1081 eV/atom
- Energy above the lowest structure with this stoichiometry: 0.045 eV/atom
- Calculated volume: 35.151 Å³/atom
- ΔH_f (0 K): -76 kJ/mol of formula units